The following is a DFT calculation (GGA-PBE) of a relaxed structure of Tl8Te4Br.

Properties
V: 1643.1 Å³/cell
Formation energy without anion corrections: -0.307 eV per atom

Unit cell a=9.5484 b=9.5484 c=20.8098 alpha=90.00 beta=90.00 gamma=120.00
Closest atoms and distances in Å follow each position.
Space group R-3m (No. 166, hexagonal axes)
Asymmetric unit:
Tl: 0.0000 0.0000 0.2493 [6 per cell]  3 Te 3.26
Tl: 0.0001 0.5000 0.2493 [18 per cell]  1 Br 3.25, 3 Te 3.26-3.27
Te: 0.0000 0.0000 0.0000 [3 per cell]  6 Tl 3.27
Te: 0.0000 0.5000 0.0000 [9 per cell]  6 Tl 3.26
Br: 0.0000 0.0000 0.5000 [3 per cell]  6 Tl 3.25